1.
This record from the Alexandria database describes crystalline TiIrRh at its relaxed geometry. The functional is PBE.

Summary:
Energy relative to the lowest polymorph listed for this composition   19.1 kJ per mole of atoms
SG   I4mm (107)
Size of the total moment   0.000 μB/f.u.
DFT formation energy   -518 meV/atom

```
data_TiIrRh
_chemical_formula_sum 'Ti1 Ir1 Rh1'
_space_group_name_H-M_alt 'P 1'
_space_group_IT_number 1
_cell_length_a 5.453
_cell_length_b 5.453
_cell_length_c 5.453
_cell_angle_alpha 148.12
_cell_angle_beta 148.12
_cell_angle_gamma 45.71
loop_
_space_group_symop_operation_xyz
'x,y,z'
loop_
_atom_site_label
_atom_site_type_symbol
_atom_site_fract_x
_atom_site_fract_y
_atom_site_fract_z
Ti1 Ti 0.000 0.000 0.000
Ir1 Ir 0.651 0.651 0.000
Rh1 Rh 0.349 0.349 0.000
```

=====

2.
This record from the Alexandria database describes crystalline LaSm2MgAu4 at its relaxed geometry. The functional is PBE.

Summary:
SG   R-3m (166)
Size of the total moment   0.000 μB/f.u.
DFT formation energy   -756 meV/atom

```
data_LaSm2MgAu4
_chemical_formula_sum 'La1 Sm2 Mg1 Au4'
_space_group_name_H-M_alt 'P 1'
_space_group_IT_number 1
_cell_length_a 9.011
_cell_length_b 9.011
_cell_length_c 9.011
_cell_angle_alpha 33.01
_cell_angle_beta 33.01
_cell_angle_gamma 33.01
loop_
_space_group_symop_operation_xyz
'x,y,z'
loop_
_atom_site_label
_atom_site_type_symbol
_atom_site_fract_x
_atom_site_fract_y
_atom_site_fract_z
La1 La 0.000 0.000 0.000
Sm1 Sm 0.240 0.240 0.240
Sm2 Sm 0.760 0.760 0.760
Mg1 Mg 0.500 0.500 0.500
Au1 Au 0.122 0.122 0.122
Au2 Au 0.387 0.387 0.387
Au3 Au 0.613 0.613 0.613
Au4 Au 0.878 0.878 0.878
```

=====

3.
This record from the Alexandria database describes crystalline Sm4Er7Sc at its relaxed geometry. The functional is PBE.

Summary:
Energy relative to the lowest polymorph listed for this composition   9.7 kJ per mole of atoms
SG   C2/m (12)
Size of the total moment   0.325 μB/f.u.
DFT formation energy   202 meV/atom

```
data_Sm4Er7Sc
_chemical_formula_sum 'Sm4 Er7 Sc1'
_space_group_name_H-M_alt 'P 1'
_space_group_IT_number 1
_cell_length_a 6.260
_cell_length_b 6.260
_cell_length_c 13.017
_cell_angle_alpha 102.96
_cell_angle_beta 102.96
_cell_angle_gamma 50.05
loop_
_space_group_symop_operation_xyz
'x,y,z'
loop_
_atom_site_label
_atom_site_type_symbol
_atom_site_fract_x
_atom_site_fract_y
_atom_site_fract_z
Sm1 Sm 0.039 0.039 0.284
Sm2 Sm 0.323 0.323 0.237
Sm3 Sm 0.677 0.677 0.763
Sm4 Sm 0.961 0.961 0.716
Er1 Er 0.138 0.138 0.966
Er2 Er 0.266 0.266 0.601
Er3 Er 0.412 0.412 0.871
Er4 Er 0.500 0.500 0.500
Er5 Er 0.588 0.588 0.129
Er6 Er 0.734 0.734 0.399
Er7 Er 0.862 0.862 0.034
Sc1 Sc 0.000 0.000 0.500
```

=====

4.
This record from the Alexandria database describes crystalline CsKTl2 at its relaxed geometry. The functional is PBE.

Summary:
Energy relative to the lowest polymorph listed for this composition   19.3 kJ per mole of atoms
SG   I-42d (122)
Size of the total moment   0.000 μB/f.u.
DFT formation energy   129 meV/atom

```
data_CsKTl2
_chemical_formula_sum 'Cs2 K2 Tl4'
_space_group_name_H-M_alt 'P 1'
_space_group_IT_number 1
_cell_length_a 8.108
_cell_length_b 8.108
_cell_length_c 8.108
_cell_angle_alpha 101.32
_cell_angle_beta 101.32
_cell_angle_gamma 127.40
loop_
_space_group_symop_operation_xyz
'x,y,z'
loop_
_atom_site_label
_atom_site_type_symbol
_atom_site_fract_x
_atom_site_fract_y
_atom_site_fract_z
Cs1 Cs 0.000 0.000 0.000
Cs2 Cs 0.750 0.250 0.500
K1 K 0.250 0.750 0.500
K2 K 0.500 0.500 0.000
Tl1 Tl 0.142 0.625 0.017
Tl2 Tl 0.375 0.392 0.517
Tl3 Tl 0.608 0.125 0.983
Tl4 Tl 0.875 0.858 0.483
```

=====

5.
This record from the Alexandria database describes crystalline TaBe2 at its relaxed geometry. The functional is PBE.

Summary:
SG   P4/mmm (123)
Size of the total moment   0.000 μB/f.u.
DFT formation energy   798 meV/atom

```
data_TaBe2
_chemical_formula_sum 'Ta1 Be2'
_space_group_name_H-M_alt 'P 1'
_space_group_IT_number 1
_cell_length_a 4.522
_cell_length_b 4.522
_cell_length_c 2.470
_cell_angle_alpha 90.00
_cell_angle_beta 90.00
_cell_angle_gamma 90.00
loop_
_space_group_symop_operation_xyz
'x,y,z'
loop_
_atom_site_label
_atom_site_type_symbol
_atom_site_fract_x
_atom_site_fract_y
_atom_site_fract_z
Ta1 Ta 0.000 0.000 0.000
Be1 Be 0.000 0.500 0.500
Be2 Be 0.500 0.000 0.500
```

=====

6.
This record from the Alexandria database describes crystalline HfZrTc4 at its relaxed geometry. The functional is PBE.

Summary:
SG   F-43m (216)
Size of the total moment   0.000 μB/f.u.
DFT formation energy   -308 meV/atom

```
data_HfZrTc4
_chemical_formula_sum 'Hf1 Zr1 Tc4'
_space_group_name_H-M_alt 'P 1'
_space_group_IT_number 1
_cell_length_a 5.260
_cell_length_b 5.260
_cell_length_c 5.260
_cell_angle_alpha 60.00
_cell_angle_beta 60.00
_cell_angle_gamma 60.00
loop_
_space_group_symop_operation_xyz
'x,y,z'
loop_
_atom_site_label
_atom_site_type_symbol
_atom_site_fract_x
_atom_site_fract_y
_atom_site_fract_z
Hf1 Hf 0.000 0.000 0.000
Zr1 Zr 0.250 0.250 0.250
Tc1 Tc 0.125 0.625 0.625
Tc2 Tc 0.625 0.125 0.625
Tc3 Tc 0.625 0.625 0.125
Tc4 Tc 0.625 0.625 0.625
```